Record 1
VASP calculation (PBE-GGA) on PmMg15Cd4 after structural relaxation.

Structure (CIF):
```
data_PmMg15Cd4
_chemical_formula_sum 'Pm1 Mg15 Cd4'
_symmetry_space_group_name_H-M 'P 4/m m m'
_symmetry_Int_Tables_number 123
_symmetry_space_group_name_Hall '-P 4 2'
_cell_length_a 4.639
_cell_length_b 4.639
_cell_length_c 21.297
_cell_angle_alpha 90.00
_cell_angle_beta 90.00
_cell_angle_gamma 90.00
loop_
_atom_site_label
_atom_site_type_symbol
_atom_site_fract_x
_atom_site_fract_y
_atom_site_fract_z
Pm1 Pm 0.000 0.000 0.000
Mg1 Mg 0.000 0.500 0.110
Mg2 Mg 0.000 0.500 0.303
Mg3 Mg 0.000 0.500 0.500
Mg4 Mg 0.500 0.500 0.000
Mg5 Mg 0.500 0.500 0.209
Mg6 Mg 0.500 0.500 0.401
Cd1 Cd 0.000 0.000 0.204
Cd2 Cd 0.000 0.000 0.403
```

Computed properties:
magnetization	0.0000	μB/atom



Record 2
VASP calculation (PBE-GGA) on Pm2Mg3Cd2 after structural relaxation.

Structure (CIF):
```
data_Pm2Mg3Cd2
_chemical_formula_sum 'Pm4 Mg6 Cd4'
_symmetry_space_group_name_H-M 'C m m m'
_symmetry_Int_Tables_number 65
_symmetry_space_group_name_Hall '-C 2 2'
_cell_length_a 4.967
_cell_length_b 22.085
_cell_length_c 3.335
_cell_angle_alpha 90.00
_cell_angle_beta 90.00
_cell_angle_gamma 90.00
loop_
_atom_site_label
_atom_site_type_symbol
_atom_site_fract_x
_atom_site_fract_y
_atom_site_fract_z
Pm1 Pm 0.000 0.155 0.000
Mg1 Mg 0.000 0.000 0.000
Mg2 Mg 0.000 0.430 0.500
Cd1 Cd 0.000 0.288 0.500
```

Computed properties:
magnetization	0.0000	μB/atom



Record 3
VASP calculation (PBE-GGA) on Pm4Mg5Cd3 after structural relaxation.

Structure (CIF):
```
data_Pm4Mg5Cd3
_chemical_formula_sum 'Pm8 Mg10 Cd6'
_symmetry_space_group_name_H-M 'C 1 2/m 1'
_symmetry_Int_Tables_number 12
_cell_length_a 16.439
_cell_length_b 5.195
_cell_length_c 9.162
_cell_angle_alpha 90.00
_cell_angle_beta 121.42
_cell_angle_gamma 90.00
loop_
_symmetry_equiv_pos_as_xyz
'x,y,z'
'-x,-y,-z'
'-x,y,-z'
'x,-y,z'
'x+1/2,y+1/2,z'
'-x+1/2,-y+1/2,-z'
'-x+1/2,y+1/2,-z'
'x+1/2,-y+1/2,z'
loop_
_atom_site_label
_atom_site_type_symbol
_atom_site_fract_x
_atom_site_fract_y
_atom_site_fract_z
Pm1 Pm 0.065 0.000 0.235
Pm2 Pm 0.221 0.500 0.744
Mg1 Mg 0.000 0.500 0.500
Mg2 Mg 0.113 0.500 0.007
Mg3 Mg 0.154 0.000 0.861
Cd1 Cd 0.000 0.000 0.500
Cd2 Cd 0.218 0.500 0.391
```

Computed properties:
magnetization	0.0001	μB/atom



Record 4
VASP calculation (PBE-GGA) on PmMg4Cd after structural relaxation.

Structure (CIF):
```
data_PmMg4Cd
_chemical_formula_sum 'Pm4 Mg16 Cd4'
_symmetry_space_group_name_H-M 'F -4 3 m'
_symmetry_Int_Tables_number 216
_symmetry_space_group_name_Hall 'F -4 2 3'
_cell_length_a 8.450
_cell_length_b 8.450
_cell_length_c 8.450
_cell_angle_alpha 90.00
_cell_angle_beta 90.00
_cell_angle_gamma 90.00
loop_
_atom_site_label
_atom_site_type_symbol
_atom_site_fract_x
_atom_site_fract_y
_atom_site_fract_z
Pm1 Pm 0.000 0.000 0.000
Mg1 Mg 0.125 0.125 0.375
Cd1 Cd 0.250 0.250 0.750
```

Computed properties:
magnetization	0.0000	μB/atom
ΔE to the lowest computed polymorph	0.669	eV per formula unit



Record 5
VASP calculation (PBE-GGA) on Pm2MgCd12 after structural relaxation.

Structure (CIF):
```
data_Pm2MgCd12
_chemical_formula_sum 'Pm4 Mg2 Cd24'
_symmetry_space_group_name_H-M 'P 4/n b m'
_symmetry_Int_Tables_number 125
_cell_length_a 6.381
_cell_length_b 6.381
_cell_length_c 18.535
_cell_angle_alpha 90.00
_cell_angle_beta 90.00
_cell_angle_gamma 90.00
loop_
_symmetry_equiv_pos_as_xyz
'x,y,z'
'-x,-y,-z'
'-y+1/2,x,z'
'y+1/2,-x,-z'
'-x+1/2,-y+1/2,z'
'x+1/2,y+1/2,-z'
'y,-x+1/2,z'
'-y,x+1/2,-z'
'x,-y+1/2,-z'
'-x,y+1/2,z'
'-y+1/2,-x+1/2,-z'
'y+1/2,x+1/2,z'
'-x+1/2,y,-z'
'x+1/2,-y,z'
'y,x,-z'
'-y,-x,z'
loop_
_atom_site_label
_atom_site_type_symbol
_atom_site_fract_x
_atom_site_fract_y
_atom_site_fract_z
Pm1 Pm 0.250 0.750 0.248
Mg1 Mg 0.250 0.750 0.500
Cd1 Cd 0.000 0.000 0.403
Cd2 Cd 0.085 0.585 0.068
Cd3 Cd 0.250 0.250 0.160
Cd4 Cd 0.250 0.250 0.306
```

Computed properties:
magnetization	0.0000	μB/atom



Record 6
VASP calculation (PBE-GGA) on Pm5MgCd4 after structural relaxation.

Structure (CIF):
```
data_Pm5MgCd4
_chemical_formula_sum 'Pm5 Mg1 Cd4'
_symmetry_space_group_name_H-M 'P 4/m m m'
_symmetry_Int_Tables_number 123
_symmetry_space_group_name_Hall '-P 4 2'
_cell_length_a 3.842
_cell_length_b 3.842
_cell_length_c 19.136
_cell_angle_alpha 90.00
_cell_angle_beta 90.00
_cell_angle_gamma 90.00
loop_
_atom_site_label
_atom_site_type_symbol
_atom_site_fract_x
_atom_site_fract_y
_atom_site_fract_z
Pm1 Pm 0.000 0.000 0.000
Pm2 Pm 0.000 0.000 0.199
Pm3 Pm 0.000 0.000 0.399
Mg1 Mg 0.500 0.500 0.500
Cd1 Cd 0.500 0.500 0.100
Cd2 Cd 0.500 0.500 0.301
```

Computed properties:
magnetization	0.1482	μB/atom



Electronic total energy across the listed records, respectively: -33.7, -34.4, -60.2, -48.0, -46.5, -31.8 eV for the cell shown.
Energy relative to the elements across the listed records, respectively: -70, -156, -30, 8, -79, -276 meV per atom.